SeF: optimized geometry, PBE.

Computed properties:
The value obtained for the total magnetization is 0.000 μB per atom. As for the total DFT energy (no corrections): -29.94 eV for the cell shown. Its offset from the most stable computed form is 0.000 eV/atom.

a b c (Å): 4.9413 5.5169 7.8438
angles (deg): 87.90 72.70 72.56
With the nearest neighbours (Å) after each atom.
Atoms (fractional coordinates):
1 Se 0.0000 0.0000 0.0000  4 F 1.76-1.87
2 Se 0.2392 0.6829 0.4846  2 Se 2.33-2.39
3 Se 0.4837 0.6238 0.7109  2 Se 2.39-2.41
4 Se 0.7535 0.9294 0.6283  2 Se 2.33-2.41
5 F 0.0744 0.2646 0.8549  1 Se 1.87
6 F 0.3098 0.0037 0.0665  1 Se 1.76
7 F 0.7490 0.2329 0.1698  1 Se 1.78
8 F 0.9605 0.7507 0.1597  1 Se 1.84

Y3MoH: optimized geometry, PBE.

Computed properties:
The value obtained for the total magnetization is 0.019 μB per atom. As for the total DFT energy (no corrections): -32.72 eV for the cell shown. Its offset from the most stable computed form is 0.000 eV/atom.

a b c (Å): 4.7287 4.7287 4.7287
angles (deg): 90.00 90.00 90.00
With the nearest neighbours (Å) after each atom.
Atoms (fractional coordinates):
1 Y 0.0000 0.0000 0.5000  2 H 2.36
2 Y 0.0000 0.5000 0.0000  2 H 2.36
3 Y 0.5000 0.0000 0.0000  2 H 2.36
4 Mo 0.5000 0.5000 0.5000  12 Y 3.34
5 H 0.0000 0.0000 0.0000  6 Y 2.36

Na3PrSm2Se6: optimized geometry, PBE.

Computed properties:
The value obtained for the total magnetization is 0.000 μB per atom. As for the total DFT energy (no corrections): -59.34 eV for the cell shown.

a b c (Å): 7.3814 7.3814 7.4323
angles (deg): 99.53 99.53 120.00
With the nearest neighbours (Å) after each atom.
Atoms (fractional coordinates):
1 Na 0.0000 0.0000 0.0000  6 Se 3.05-3.10
2 Na 0.3339 0.6661 0.0000  6 Se 3.06-3.10
3 Na 0.6661 0.3339 0.0000  6 Se 3.06-3.10
4 Pr 0.5000 0.5000 0.5000  6 Se 2.99
5 Sm 0.1668 0.8332 0.5000  6 Se 2.95
6 Sm 0.8332 0.1668 0.5000  6 Se 2.95
7 Se 0.0836 0.4216 0.2651  2 Sm 2.95, 1 Pr 2.99, 3 Na 3.06-3.10
8 Se 0.2405 0.2405 0.7354  2 Sm 2.95, 1 Pr 2.99, 3 Na 3.05-3.09
9 Se 0.4216 0.0836 0.2651  2 Sm 2.95, 1 Pr 2.99, 3 Na 3.06-3.10
10 Se 0.5784 0.9164 0.7349  2 Sm 2.95, 1 Pr 2.99, 3 Na 3.06-3.10
11 Se 0.7595 0.7595 0.2646  2 Sm 2.95, 1 Pr 2.99, 3 Na 3.05-3.09
12 Se 0.9164 0.5784 0.7349  2 Sm 2.95, 1 Pr 2.99, 3 Na 3.06-3.10

ReAu3: optimized geometry, PBE.

Computed properties:
The value obtained for the total magnetization is 0.000 μB per atom. As for the total DFT energy (no corrections): -42.15 eV for the cell shown. As for the formation energy: 116 kJ/mol of formula units.

a b c (Å): 6.0381 6.0381 3.8312
angles (deg): 90.00 90.00 89.02
With the nearest neighbours (Å) after each atom.
Atoms (fractional coordinates):
1 Re 0.0903 0.9097 0.7500  2 Re 2.45
2 Re 0.9097 0.0903 0.2500  2 Re 2.45
3 Au 0.1237 0.3799 0.7500  8 Au 2.82-3.08, 3 Re 2.85-2.91
4 Au 0.3669 0.6331 0.2500  10 Au 2.87-3.08, 2 Re 3.03
5 Au 0.3799 0.1237 0.2500  8 Au 2.82-3.08, 3 Re 2.85-2.91
6 Au 0.6201 0.8763 0.7500  8 Au 2.82-3.08, 3 Re 2.85-2.91
7 Au 0.6331 0.3669 0.7500  10 Au 2.87-3.08, 2 Re 3.03
8 Au 0.8763 0.6201 0.2500  8 Au 2.82-3.08, 3 Re 2.85-2.91

Ba3SmDy3Te8: optimized geometry, PBE.

Computed properties:
The value obtained for the total magnetization is 0.000 μB per atom. As for the total DFT energy (no corrections): -72.49 eV for the cell shown.

a b c (Å): 9.5237 9.5237 9.5237
angles (deg): 56.49 56.49 56.49
With the nearest neighbours (Å) after each atom.
Atoms (fractional coordinates):
1 Ba 0.0000 0.5000 0.5000  6 Te 3.45-3.46
2 Ba 0.5000 0.0000 0.5000  6 Te 3.45-3.46
3 Ba 0.5000 0.5000 0.0000  6 Te 3.45-3.46
4 Sm 0.5000 0.5000 0.5000  6 Te 3.19
5 Dy 0.0000 0.0000 0.5000  6 Te 3.10-3.12
6 Dy 0.0000 0.5000 0.0000  6 Te 3.10-3.12
7 Dy 0.5000 0.0000 0.0000  6 Te 3.10-3.12
8 Te 0.2303 0.7442 0.7442  2 Dy 3.10, 1 Sm 3.19, 2 Ba 3.46
9 Te 0.2386 0.2386 0.2386  3 Dy 3.12, 3 Ba 3.45
10 Te 0.2558 0.2558 0.7697  2 Dy 3.10, 1 Sm 3.19, 2 Ba 3.46
11 Te 0.2558 0.7697 0.2558  2 Dy 3.10, 1 Sm 3.19, 2 Ba 3.46
12 Te 0.7442 0.2303 0.7442  2 Dy 3.10, 1 Sm 3.19, 2 Ba 3.46
13 Te 0.7442 0.7442 0.2303  2 Dy 3.10, 1 Sm 3.19, 2 Ba 3.46
14 Te 0.7614 0.7614 0.7614  3 Dy 3.12, 3 Ba 3.45
15 Te 0.7697 0.2558 0.2558  2 Dy 3.10, 1 Sm 3.19, 2 Ba 3.46

Pr2DyEr: optimized geometry, PBE.

Computed properties:
The value obtained for the total magnetization is 0.000 μB per atom. As for the total DFT energy (no corrections): -37.25 eV for the cell shown. Its offset from the most stable computed form is 0.006 eV/atom. As for the formation energy: 9 kJ/mol of formula units.

a b c (Å): 7.3144 7.3144 5.8174
angles (deg): 90.00 90.00 119.31
With the nearest neighbours (Å) after each atom.
Atoms (fractional coordinates):
1 Pr 0.0848 0.4147 0.2500  4 Dy 3.60-3.68, 4 Er 3.60-3.68, 4 Pr 3.62-3.70
2 Pr 0.4147 0.0848 0.7500  4 Dy 3.60-3.68, 4 Er 3.60-3.68, 4 Pr 3.62-3.70
3 Pr 0.5853 0.9152 0.2500  4 Dy 3.60-3.68, 4 Er 3.60-3.68, 4 Pr 3.62-3.70
4 Pr 0.9152 0.5853 0.7500  4 Dy 3.60-3.68, 4 Er 3.60-3.68, 4 Pr 3.62-3.70
5 Dy 0.0827 0.9173 0.2500  2 Dy 3.58, 8 Pr 3.60-3.68, 2 Er 3.70
6 Dy 0.9173 0.0827 0.7500  2 Dy 3.58, 8 Pr 3.60-3.68, 2 Er 3.70
7 Er 0.4171 0.5829 0.7500  2 Er 3.58, 8 Pr 3.60-3.68, 2 Dy 3.70
8 Er 0.5829 0.4171 0.2500  2 Er 3.58, 8 Pr 3.60-3.68, 2 Dy 3.70

Ti8H2Pb3: optimized geometry, PBE.

Computed properties:
The value obtained for the total magnetization is 0.000 μB per atom. As for the total DFT energy (no corrections): -82.17 eV for the cell shown.

a b c (Å): 8.5406 8.5406 8.5406
angles (deg): 38.68 38.68 38.68
With the nearest neighbours (Å) after each atom.
Atoms (fractional coordinates):
1 Ti 0.1797 0.1797 0.1797  1 H 1.80
2 Ti 0.2272 0.2272 0.7413  1 H 1.83
3 Ti 0.2272 0.7413 0.2272  1 H 1.83
4 Ti 0.2587 0.7728 0.7728  1 H 1.83
5 Ti 0.7413 0.2272 0.2272  1 H 1.83
6 Ti 0.7728 0.2587 0.7728  1 H 1.83
7 Ti 0.7728 0.7728 0.2587  1 H 1.83
8 Ti 0.8203 0.8203 0.8203  1 H 1.80
9 H 0.1037 0.1037 0.1037  4 Ti 1.80-1.83
10 H 0.8963 0.8963 0.8963  4 Ti 1.80-1.83
11 Pb 0.2988 0.2988 0.2988  10 Ti 2.82-2.92
12 Pb 0.5000 0.5000 0.5000  12 Ti 2.93-3.28
13 Pb 0.7012 0.7012 0.7012  10 Ti 2.82-2.92

MoIr2Pt2: optimized geometry, PBE.

Computed properties:
The value obtained for the total magnetization is 0.000 μB per atom. As for the total DFT energy (no corrections): -40.32 eV for the cell shown. As for the formation energy: 30 kJ/mol of formula units.

a b c (Å): 4.3286 4.3286 4.7844
angles (deg): 106.08 106.08 66.22
With the nearest neighbours (Å) after each atom.
Atoms (fractional coordinates):
1 Mo 0.0000 0.0000 0.0000  6 Ir 2.72-2.76, 4 Pt 2.74-2.75
2 Ir 0.4035 0.4035 0.1974  2 Ir 2.70-2.77, 3 Mo 2.72-2.76, 5 Pt 2.73-2.80
3 Ir 0.5965 0.5965 0.8026  2 Ir 2.70-2.77, 3 Mo 2.72-2.76, 5 Pt 2.73-2.80
4 Pt 0.1970 0.1970 0.5990  3 Pt 2.70-2.75, 5 Ir 2.73-2.80, 2 Mo 2.74-2.75
5 Pt 0.8030 0.8030 0.4010  3 Pt 2.70-2.75, 5 Ir 2.73-2.80, 2 Mo 2.74-2.75

Ba2Tl3Ge: optimized geometry, PBE.

Computed properties:
The value obtained for the total magnetization is 0.000 μB per atom. As for the total DFT energy (no corrections): -34.88 eV for the cell shown. Its offset from the most stable computed form is 0.054 eV/atom. As for the formation energy: -181 kJ/mol of formula units.

a b c (Å): 9.9624 9.8765 7.1084
angles (deg): 69.65 68.36 41.99
With the nearest neighbours (Å) after each atom.
Atoms (fractional coordinates):
1 Ba 0.2471 0.7529 0.2471  10 Tl 3.79-3.92, 2 Ge 3.80
2 Ba 0.2500 0.2500 0.2500  8 Tl 3.79, 4 Ge 3.83
3 Ba 0.7500 0.7500 0.7500  8 Tl 3.79, 4 Ge 3.83
4 Ba 0.7529 0.2471 0.7529  10 Tl 3.79-3.92, 2 Ge 3.80
5 Tl 0.1573 0.6704 0.8427  1 Ge 2.77, 2 Tl 2.93-2.95
6 Tl 0.3276 0.3276 0.6724  1 Ge 2.76, 2 Tl 2.93
7 Tl 0.3296 0.8427 0.6704  1 Ge 2.77, 2 Tl 2.93-2.95
8 Tl 0.6704 0.1573 0.3296  1 Ge 2.77, 2 Tl 2.93-2.95
9 Tl 0.6724 0.6724 0.3276  1 Ge 2.76, 2 Tl 2.93
10 Tl 0.8427 0.3296 0.1573  1 Ge 2.77, 2 Tl 2.93-2.95
11 Ge 0.1662 0.1662 0.8338  3 Tl 2.76-2.77
12 Ge 0.8338 0.8338 0.1662  3 Tl 2.76-2.77

RbCaSeN2: optimized geometry, PBE.

Computed properties:
The value obtained for the total magnetization is 1.007 μB per atom. As for the total DFT energy (no corrections): -19.71 eV for the cell shown. Its offset from the most stable computed form is 0.000 eV/atom.

a b c (Å): 4.9661 4.9661 5.7468
angles (deg): 90.00 90.00 90.00
With the nearest neighbours (Å) after each atom.
Atoms (fractional coordinates):
1 Rb 0.0000 0.0000 0.0000  4 Se 3.51, 8 N 3.80
2 Ca 0.5000 0.5000 0.5000  4 N 2.48
3 Se 0.5000 0.5000 0.0000  2 Ca 2.87
4 N 0.0000 0.5000 0.5000  2 Ca 2.48
5 N 0.5000 0.0000 0.5000  2 Ca 2.48

LaTb2Pm: optimized geometry, PBE.

Computed properties:
The value obtained for the total magnetization is 0.000 μB per atom. As for the total DFT energy (no corrections): -18.85 eV for the cell shown. Its offset from the most stable computed form is 0.010 eV/atom. As for the formation energy: 9 kJ/mol of formula units.

a b c (Å): 5.1584 5.1584 5.0855
angles (deg): 90.00 90.00 90.00
With the nearest neighbours (Å) after each atom.
Atoms (fractional coordinates):
1 La 0.0000 0.0000 0.0000  8 Tb 3.62, 4 Pm 3.65
2 Tb 0.0000 0.5000 0.5000  4 Pm 3.62, 4 La 3.62, 4 Tb 3.65
3 Tb 0.5000 0.0000 0.5000  4 Pm 3.62, 4 La 3.62, 4 Tb 3.65
4 Pm 0.5000 0.5000 0.0000  8 Tb 3.62, 4 La 3.65

Ba2InSiPd6: optimized geometry, PBE.

Computed properties:
The value obtained for the total magnetization is 0.000 μB per atom. As for the total DFT energy (no corrections): -49.19 eV for the cell shown.

a b c (Å): 6.6719 6.6719 7.1731
angles (deg): 117.90 117.90 59.94
With the nearest neighbours (Å) after each atom.
Atoms (fractional coordinates):
1 Ba 0.2174 0.2174 0.1528  9 Pd 3.36-3.58
2 Ba 0.7826 0.7826 0.8472  9 Pd 3.36-3.58
3 In 0.5000 0.5000 0.0000  6 Pd 2.70
4 Si 0.0000 0.0000 0.5000  6 Pd 2.39
5 Pd 0.2404 0.2404 0.6405  1 Si 2.39
6 Pd 0.2409 0.6611 0.6419  1 Si 2.39
7 Pd 0.3389 0.7591 0.3581  1 Si 2.39
8 Pd 0.6611 0.2409 0.6419  1 Si 2.39
9 Pd 0.7591 0.3389 0.3581  1 Si 2.39
10 Pd 0.7596 0.7596 0.3595  1 Si 2.39

Q: Among the records above, which one has the highest total DFT energy (no corrections)?
A: LaTb2Pm

Copy entry 12 word for word.
Ba2InSiPd6: optimized geometry, PBE.

Computed properties:
The value obtained for the total magnetization is 0.000 μB per atom. As for the total DFT energy (no corrections): -49.19 eV for the cell shown.

a b c (Å): 6.6719 6.6719 7.1731
angles (deg): 117.90 117.90 59.94
With the nearest neighbours (Å) after each atom.
Atoms (fractional coordinates):
1 Ba 0.2174 0.2174 0.1528  9 Pd 3.36-3.58
2 Ba 0.7826 0.7826 0.8472  9 Pd 3.36-3.58
3 In 0.5000 0.5000 0.0000  6 Pd 2.70
4 Si 0.0000 0.0000 0.5000  6 Pd 2.39
5 Pd 0.2404 0.2404 0.6405  1 Si 2.39
6 Pd 0.2409 0.6611 0.6419  1 Si 2.39
7 Pd 0.3389 0.7591 0.3581  1 Si 2.39
8 Pd 0.6611 0.2409 0.6419  1 Si 2.39
9 Pd 0.7591 0.3389 0.3581  1 Si 2.39
10 Pd 0.7596 0.7596 0.3595  1 Si 2.39